No. 1
This record from the Alexandria database describes a relaxed structure of RbNa2LiHg. The functional is PBE.

POSCAR file:
```
RbNa2LiHg
1.0
-0.131 -3.927 4.581
-3.680 -3.580 -3.174
4.322 -2.586 -2.094
Na Hg Rb Li
2 1 1 1
Direct
0.000 0.500 0.000
0.500 0.000 0.000
0.000 0.000 0.000
0.500 0.500 0.500
0.000 0.000 0.500
```

Results
formation energy	-0.04	eV/atom
space-group type	P4/mmm (123)

=====

No. 2
This record from the Alexandria database describes a relaxed structure of RbNaLiHg2. The functional is PBE.

POSCAR file:
```
RbNaLiHg2
1.0
5.394 0.000 0.000
0.000 5.394 0.000
0.000 0.000 5.616
Na Hg Rb Li
1 2 1 1
Direct
0.000 0.000 0.500
0.000 0.500 0.000
0.500 0.000 0.000
0.500 0.500 0.500
0.000 0.000 0.000
```

Results
formation energy	-0.12	eV/atom
space-group type	P4/mmm (123)

=====

No. 3
This record from the Alexandria database describes a relaxed structure of Rb2NaLiHg2. The functional is PBE.

POSCAR file:
```
Rb2NaLiHg2
1.0
7.186 0.000 0.000
0.000 7.117 0.000
-3.593 -3.559 8.933
Rb Na Li Hg
4 2 2 4
Direct
0.413 0.175 0.350
0.587 0.825 0.650
0.063 0.325 0.650
0.937 0.675 0.350
0.000 0.750 0.000
0.000 0.250 0.000
0.500 0.750 0.000
0.500 0.250 0.000
0.813 0.098 0.196
0.382 0.598 0.196
0.618 0.402 0.804
0.187 0.902 0.804
```

Results
formation energy	-0.17	eV/atom
space-group type	Ibam (72)

=====

No. 4
This record from the Alexandria database describes a relaxed structure of Rb2NaLiHg6. The functional is PBE.

POSCAR file:
```
Rb2NaLiHg6
1.0
-6.162 4.079 3.647
-3.692 0.363 -6.532
-7.846 -2.294 -0.088
Rb Na Li Hg
2 1 1 6
Direct
0.208 0.790 0.421
0.792 0.210 0.579
0.500 0.500 0.000
0.000 0.000 0.000
0.237 0.755 0.904
0.758 0.665 0.095
0.343 0.242 0.518
0.763 0.245 0.096
0.242 0.335 0.905
0.657 0.758 0.482
```

Results
formation energy	-0.22	eV/atom
space-group type	P-1 (2)

=====

No. 5
This record from the Alexandria database describes a relaxed structure of RbNaLi2Hg. The functional is PBE.

POSCAR file:
```
RbNaLi2Hg
1.0
5.462 0.000 0.000
0.000 5.462 0.000
0.000 0.000 5.962
Na Hg Rb Li
1 1 1 2
Direct
0.000 0.000 0.500
0.000 0.000 0.000
0.500 0.500 0.500
0.000 0.500 0.000
0.500 0.000 0.000
```

Results
formation energy	-0.03	eV/atom
space-group type	P4/mmm (123)

=====

No. 6
This record from the Alexandria database describes a relaxed structure of NaLiHgRh. The functional is PBE.

POSCAR file:
```
NaLiHgRh
1.0
4.647 0.000 0.000
2.324 4.025 0.000
2.324 1.342 3.794
Na Rh Hg Li
1 1 1 1
Direct
0.750 0.750 0.750
0.000 0.000 0.000
0.250 0.250 0.250
0.500 0.500 0.500
```

Results
formation energy	-0.04	eV/atom
space-group type	F-43m (216)

=====

No. 7
This record from the Alexandria database describes a relaxed structure of NaLi2HgS. The functional is PBE.

POSCAR file:
```
NaLi2HgS
1.0
-0.075 -0.939 -4.585
-4.367 -1.634 0.407
-1.949 4.964 -0.985
Na S Hg Li
1 1 1 2
Direct
0.000 0.000 0.500
0.000 0.000 0.000
0.500 0.500 0.500
0.000 0.500 0.000
0.500 0.000 0.000
```

Results
E_form (uncorrected)	-0.663	eV/atom
space-group type	P4/mmm (123)

=====

No. 8
This record from the Alexandria database describes a relaxed structure of Na2LiHgS. The functional is PBE.

POSCAR file:
```
Na2LiHgS
1.0
-1.365 -5.036 1.566
4.141 -0.022 3.540
-2.735 1.739 3.211
Na S Hg Li
2 1 1 1
Direct
0.000 0.500 0.000
0.500 0.000 0.000
0.000 0.000 0.000
0.500 0.500 0.500
0.000 0.000 0.500
```

Results
E_form (uncorrected)	-0.624	eV/atom
space-group type	P4/mmm (123)

=====

No. 9
This record from the Alexandria database describes a relaxed structure of NaLiHgSb. The functional is PBE.

POSCAR file:
```
NaLiHgSb
1.0
-3.889 -2.074 1.485
3.510 0.757 2.966
-2.097 4.822 1.243
Na Li Hg Sb
1 1 1 1
Direct
0.571 0.143 0.456
0.239 0.477 0.701
0.238 0.477 0.189
0.906 0.811 0.892
```

Results
E_form (uncorrected)	-0.207	eV/atom
space-group type	Cm (8)

=====

No. 10
This record from the Alexandria database describes a relaxed structure of NaLiHg2Sb. The functional is PBE.

POSCAR file:
```
NaLiHg2Sb
1.0
-3.417 4.691 0.037
-2.581 -1.919 4.904
6.518 4.734 1.776
Na Li Hg Sb
2 2 4 2
Direct
0.250 0.844 0.687
0.750 0.156 0.313
0.250 0.654 0.307
0.750 0.346 0.693
0.500 0.252 0.000
0.000 0.748 0.000
0.500 0.748 0.000
0.000 0.252 0.000
0.750 0.743 0.487
0.250 0.257 0.513
```

Results
E_form (uncorrected)	-0.131	eV/atom
space-group type	Cmcm (63)

=====

No. 11
This record from the Alexandria database describes a relaxed structure of NaLiHgSb. The functional is PBE.

POSCAR file:
```
NaLiHgSb
1.0
-0.487 -4.099 -2.932
1.225 -4.567 1.810
-3.629 -3.393 0.975
Sb Li Hg Na
1 1 1 1
Direct
0.250 0.250 0.250
0.000 0.000 0.000
0.750 0.750 0.750
0.500 0.500 0.500
```

Results
E_form (uncorrected)	-0.304	eV/atom
space-group type	F-43m (216)

=====

No. 12
This record from the Alexandria database describes a relaxed structure of NaLiHg2Sb. The functional is PBE.

POSCAR file:
```
NaLiHg2Sb
1.0
5.130 0.000 0.000
0.000 5.130 0.000
0.000 0.000 5.164
Sb Li Hg Na
1 1 2 1
Direct
0.000 0.000 0.500
0.000 0.000 0.000
0.000 0.500 0.000
0.500 0.000 0.000
0.500 0.500 0.500
```

Results
E_form (uncorrected)	-0.083	eV/atom
space-group type	P4/mmm (123)

=====

No. 13
This record from the Alexandria database describes a relaxed structure of NaLiScHg. The functional is PBE.

POSCAR file:
```
NaLiScHg
1.0
-0.358 0.579 -4.893
-2.214 -3.462 -2.741
-4.393 0.919 -2.063
Sc Na Hg Li
1 1 1 1
Direct
0.250 0.250 0.250
0.000 0.000 0.000
0.500 0.500 0.500
0.750 0.750 0.750
```

Results
formation energy	-0.04	eV/atom
space-group type	F-43m (216)

=====

No. 14
This record from the Alexandria database describes a relaxed structure of Na2LiHgSe. The functional is PBE.

POSCAR file:
```
Na2LiHgSe
1.0
5.626 0.000 0.000
0.000 5.626 0.000
0.000 0.000 4.784
Na Hg Se Li
2 1 1 1
Direct
0.000 0.500 0.000
0.500 0.000 0.000
0.500 0.500 0.500
0.000 0.000 0.000
0.000 0.000 0.500
```

Results
E_form (uncorrected)	-0.588	eV/atom
space-group type	P4/mmm (123)

=====

No. 15
This record from the Alexandria database describes a relaxed structure of NaLiHgSe2. The functional is PBE.

POSCAR file:
```
NaLiHgSe2
1.0
-1.421 2.082 -3.441
-5.349 0.837 5.359
5.344 6.576 1.771
Na Li Hg Se
2 2 2 4
Direct
0.302 0.604 0.314
0.698 0.396 0.686
0.662 0.324 0.056
0.338 0.676 0.944
0.031 0.062 0.249
0.969 0.938 0.751
0.362 0.724 0.658
0.638 0.276 0.342
0.143 0.286 0.893
0.857 0.714 0.107
```

Results
E_form (uncorrected)	-0.783	eV/atom
space-group type	C2/m (12)

=====

No. 16
This record from the Alexandria database describes a relaxed structure of NaLiSiHg. The functional is PBE.

POSCAR file:
```
NaLiSiHg
1.0
-3.115 -3.519 0.534
1.478 -4.279 1.372
-1.052 -1.590 4.329
Na Si Hg Li
1 1 1 1
Direct
0.750 0.750 0.750
0.000 0.000 0.000
0.250 0.250 0.250
0.500 0.500 0.500
```

Results
E_form (uncorrected)	-0.037	eV/atom
space-group type	F-43m (216)

=====

No. 17
This record from the Alexandria database describes a relaxed structure of NaLiSmHg. The functional is PBE.

POSCAR file:
```
NaLiSmHg
1.0
5.218 0.000 0.000
2.609 4.519 0.000
2.609 1.506 4.260
Na Hg Sm Li
1 1 1 1
Direct
0.000 0.000 0.000
0.750 0.750 0.750
0.500 0.500 0.500
0.250 0.250 0.250
```

Results
formation energy	-0.10	eV/atom
space-group type	F-43m (216)

=====

No. 18
This record from the Alexandria database describes a relaxed structure of NaLiSnHg. The functional is PBE.

POSCAR file:
```
NaLiSnHg
1.0
-1.138 -0.448 4.869
-0.291 -4.550 2.101
3.507 -1.484 3.271
Na Li Hg Sn
1 1 1 1
Direct
0.750 0.750 0.750
0.000 0.000 0.000
0.500 0.500 0.500
0.250 0.250 0.250
```

Results
formation energy	-0.24	eV/atom
space-group type	F-43m (216)

=====

No. 19
This record from the Alexandria database describes a relaxed structure of NaLi2Sn2Hg2. The functional is PBE.

POSCAR file:
```
NaLi2Sn2Hg2
1.0
4.749 0.000 0.000
2.374 4.113 0.000
2.374 1.371 8.891
Na Li Sn Hg
1 2 2 2
Direct
0.000 0.000 0.000
0.140 0.140 0.581
0.860 0.860 0.419
0.743 0.743 0.771
0.257 0.257 0.229
0.559 0.559 0.323
0.441 0.441 0.677
```

Results
formation energy	-0.23	eV/atom
space-group type	R-3m (166)

=====

No. 20
This record from the Alexandria database describes a relaxed structure of NaLiSnHg. The functional is PBE.

POSCAR file:
```
NaLiSnHg
1.0
-1.182 2.720 -1.222
-2.680 -0.393 1.717
3.594 4.550 6.653
Na Li Sn Hg
1 1 1 1
Direct
0.000 0.000 0.082
0.000 0.000 0.561
0.500 0.500 0.792
0.500 0.500 0.350
```

Results
formation energy	-0.27	eV/atom
space-group type	P4mm (99)